Record 1
La2HoSi3Pt12 | PBE | relaxed

Cell: 7.760 7.760 7.760 Å, 65.08 65.08 65.08°
Positions (direct):
1 La 0.102 0.102 0.102
2 La 0.898 0.898 0.898
3 Ho 0.500 0.500 0.500
4 Si 0.000 0.500 0.500
5 Si 0.500 0.000 0.500
6 Si 0.500 0.500 0.000
7 Pt 0.102 0.643 0.643
8 Pt 0.151 0.151 0.599
9 Pt 0.151 0.599 0.151
10 Pt 0.357 0.357 0.898
11 Pt 0.357 0.898 0.357
12 Pt 0.401 0.849 0.849
13 Pt 0.599 0.151 0.151
14 Pt 0.643 0.102 0.643
15 Pt 0.643 0.643 0.102
16 Pt 0.849 0.401 0.849
17 Pt 0.849 0.849 0.401
18 Pt 0.898 0.357 0.357

D(E_F): 0.509 states/eV per atom
E: -6.32 eV/atom
Symmetry: R-3m

---

Record 2
SrAcZnCu | PBE | relaxed

Cell: 5.445 5.445 5.445 Å, 60.00 60.00 60.00°
Positions (direct):
1 Sr 0.000 0.000 0.000
2 Ac 0.500 0.500 0.500
3 Zn 0.750 0.750 0.750
4 Cu 0.250 0.250 0.250

Energy of formation from the pure elements: -0.431 eV per formula unit
Excess energy over the best structure of this formula in the dataset: 0.035 eV/atom
D(E_F): 1.070 states/eV per atom
E: -2.90 eV/atom
Symmetry: F-43m

---

Record 3
Dy6YTm4 | PBE | relaxed

Cell: 5.565 5.565 25.486 Å, 90.00 90.00 119.18°
Positions (direct):
1 Dy 0.000 0.000 0.000
2 Dy 0.000 0.000 0.500
3 Dy 0.017 0.983 0.750
4 Dy 0.317 0.683 0.103
5 Dy 0.317 0.683 0.397
6 Dy 0.351 0.649 0.681
7 Dy 0.351 0.649 0.819
8 Dy 0.649 0.351 0.181
9 Dy 0.649 0.351 0.319
10 Dy 0.683 0.317 0.603
11 Dy 0.683 0.317 0.897
12 Dy 0.983 0.017 0.250
13 Y 0.317 0.683 0.250
14 Y 0.683 0.317 0.750
15 Tm 0.020 0.980 0.622
16 Tm 0.020 0.980 0.878
17 Tm 0.340 0.660 0.543
18 Tm 0.340 0.660 0.957
19 Tm 0.660 0.340 0.043
20 Tm 0.660 0.340 0.457
21 Tm 0.980 0.020 0.122
22 Tm 0.980 0.020 0.378

Energy of formation from the pure elements: 1.382 eV per formula unit
Excess energy over the best structure of this formula in the dataset: 0.000 eV/atom
D(E_F): 1.735 states/eV per atom
E: -4.60 eV/atom
Symmetry: Cmcm

---

Question: The highest D(E_F) belongs to which entry?
Answer: Dy6YTm4